Computed, not measured: a relaxed TiRuNO2 crystal at the GGA-PBEsol level of DFT.

## Properties
Raw formation energy = -0.491 eV per atom
Magnetization = 0.65 μB/atom
Calculated density = 5.8 g/cm3
N(E_F) = 4.36 states/eV/f.u.
Crystal system = tetragonal

The structure in CIF format:
```
data_TiRuNO2
_chemical_formula_sum 'Ti1 Ru1 N1 O2'
_cell_length_a 3.711
_cell_length_b 3.711
_cell_length_c 4.068
_cell_angle_alpha 90.00
_cell_angle_beta 90.00
_cell_angle_gamma 90.00
_space_group_name_H-M_alt 'P 4/m m m'
_space_group_IT_number 123
_space_group_name_Hall '-P 4 2'
loop_
_atom_site_label
_atom_site_fract_x
_atom_site_fract_y
_atom_site_fract_z
_atom_site_occupancy
Ti1 0.000 0.000 0.000 1
Ru1 0.500 0.500 0.500 1
N1 0.000 0.000 0.500 1
O1 0.000 0.500 0.000 1
```